# 1
# PmPr9Dy2

PmPr9Dy2 after structural relaxation (PBE, the Alexandria database).

a b c (Å): 5.2021 5.2021 15.6120
angles (deg): 90.00 90.00 90.00
Space group P4/mmm (No. 123)
Asymmetric unit:
Pm (0.0000, 0.0000, 0.0000)
Pr (0.0000, 0.5000, 0.1682)
Pr (0.0000, 0.5000, 0.5000)
Pr (0.5000, 0.5000, 0.0000)
Pr (0.5000, 0.5000, 0.3346)
Dy (0.0000, 0.0000, 0.3342)

Results
- Formation enthalpy at 0 K: 0.014 eV/atom
- VASP energy: -56.80 eV for the cell shown
- Spin magnetization: 0.0 Bohr magnetons per cell

***

# 2
# Pm7PrDy3

Pm7PrDy3 after structural relaxation (PBE, the Alexandria database).

a b c (Å): 7.2088 7.2088 8.6886
angles (deg): 90.00 90.00 120.00
Space group P3m1 (No. 156)
Asymmetric unit:
Pm (0.0000, 0.0000, 0.0000)
Pm (0.1661, 0.3322, 0.3327)
Pm (0.5004, 0.0008, 0.9867)
Pr (0.6667, 0.3333, 0.3190)
Dy (0.3327, 0.1663, 0.6605)

Results
- ΔE to the lowest computed polymorph: 0 meV per atom
- Formation enthalpy at 0 K: 0.187 eV/atom
- VASP energy: -49.78 eV for the cell shown
- Spin magnetization: 0.0 Bohr magnetons per cell